1.
The following is a DFT calculation (PBE) of a geometry-optimized Li4AcP2 structure.

Unit cell a=7.8997 b=7.8997 c=4.1673 alpha=90.00 beta=90.00 gamma=90.00
Fractional coordinates of all 14 atoms:
Li1 0.0927 0.3319 0.0000
Li2 0.1681 0.5927 0.5000
Li3 0.3319 0.0927 0.0000
Li4 0.4073 0.8319 0.5000
Li5 0.5927 0.1681 0.5000
Li6 0.6681 0.9073 0.0000
Li7 0.8319 0.4073 0.5000
Li8 0.9073 0.6681 0.0000
Ac1 0.0000 0.0000 0.5000
Ac2 0.5000 0.5000 0.0000
P1 0.2158 0.7842 0.0000
P2 0.2842 0.2842 0.5000
P3 0.7158 0.7158 0.5000
P4 0.7842 0.2158 0.0000

VASP energy   -56.2 eV/cell
Energy of formation   -0.79 eV per atom
Crystal system   tetragonal

---

2.
The following is a DFT calculation (PBE) of a geometry-optimized LiAcP structure.

Unit cell a=5.1412 b=5.1412 c=5.1412 alpha=131.25 beta=131.25 gamma=71.41
Fractional coordinates of all 3 atoms:
Li1 0.0000 0.0000 0.0000
Ac1 0.3520 0.3520 0.0000
P1 0.7120 0.7120 0.0000

VASP energy   -13.0 eV/cell
E above lowest polymorph   454 meV per atom
Energy of formation   -0.52 eV per atom
Crystal system   tetragonal

---

3.
The following is a DFT calculation (PBE) of a geometry-optimized LiAcP structure.

Unit cell a=4.2884 b=4.2884 c=4.3553 alpha=90.00 beta=90.00 gamma=120.00
Fractional coordinates of all 3 atoms:
Li1 0.0000 0.0000 0.0000
Ac1 0.3333 0.6667 0.5000
P1 0.6667 0.3333 0.0000

VASP energy   -14.4 eV/cell
E above lowest polymorph   0 meV per atom
Energy of formation   -0.97 eV per atom
Crystal system   hexagonal